1.
Entry from Alexandria via LeMat-Bulk: a relaxed structure of ZnPdN3 (GGA-PBE).

Cell: 3.9694 3.9694 3.9694 Å, 90.00 90.00 90.00°
Closest atoms and distances in Å follow each position.
Atoms (fractional coordinates):
Zn 0.0000 0.0000 0.0000  12 N 2.81
Pd 0.5000 0.5000 0.5000  6 N 1.98
N 0.0000 0.5000 0.5000  2 Pd 1.98
N 0.5000 0.0000 0.5000  2 Pd 1.98
N 0.5000 0.5000 0.0000  2 Pd 1.98

Values from the calculation:
- SG: Pm-3m (221)
- Volume: 62.5 Å³/cell
- Raw formation energy: 1994 meV/atom
- Total energy: -21.472 eV for the cell shown
- DOS at the Fermi energy: 0.58 states/eV per atom



2.
Entry from Alexandria via LeMat-Bulk: a relaxed structure of ZnPdN (GGA-PBE).

Cell: 9.4328 9.4328 9.4328 Å, 161.93 161.93 25.67°
Closest atoms and distances in Å follow each position.
Atoms (fractional coordinates):
Zn 0.2058 0.2058 0.0000  1 N 1.98
Zn 0.7942 0.7942 0.0000  1 N 1.98
Pd 0.4240 0.4240 0.0000  4 N 2.13
Pd 0.5760 0.5760 0.0000  4 N 2.13
N 0.0981 0.0981 0.0000  1 Zn 1.98, 4 Pd 2.13
N 0.9019 0.9019 0.0000  1 Zn 1.98, 4 Pd 2.13

Values from the calculation:
- SG: I4/mmm (139)
- Volume: 80.8 Å³/cell
- Raw formation energy: 584 meV/atom
- Total energy: -26.081 eV for the cell shown
- DOS at the Fermi energy: 0.68 states/eV per atom



3.
Entry from Alexandria via LeMat-Bulk: a relaxed structure of ZnPdN2 (GGA-PBE).

Cell: 6.3413 6.3413 6.3413 Å, 27.44 27.44 27.44°
Closest atoms and distances in Å follow each position.
Atoms (fractional coordinates):
Zn 0.0000 0.0000 0.0000  6 N 2.07
Pd 0.5000 0.5000 0.5000  2 N 1.93
N 0.3946 0.3946 0.3946  1 Pd 1.93, 3 Zn 2.07
N 0.6054 0.6054 0.6054  1 Pd 1.93, 3 Zn 2.07

Values from the calculation:
- SG: R-3m (166)
- Volume: 47.8 Å³/cell
- Raw formation energy: 994 meV/atom
- Total energy: -19.142 eV for the cell shown
- DOS at the Fermi energy: 0.55 states/eV per atom



4.
Entry from Alexandria via LeMat-Bulk: a relaxed structure of Zr6PdN (GGA-PBE).

Cell: 5.1588 5.7459 5.9049 Å, 98.38 112.63 91.06°
Closest atoms and distances in Å follow each position.
Atoms (fractional coordinates):
Zr 0.0636 0.2932 0.1582  1 N 2.33
Zr 0.2297 0.8247 0.4763  1 N 2.24
Zr 0.3932 0.3728 0.7510  1 N 2.21
Zr 0.6068 0.6272 0.2490  1 N 2.21
Zr 0.7703 0.1753 0.5237  1 N 2.24
Zr 0.9364 0.7068 0.8418  1 N 2.33
Pd 0.5000 0.0000 0.0000  4 Zr 2.72-2.87
N 0.0000 0.5000 0.5000  6 Zr 2.21-2.33

Values from the calculation:
- SG: P-1 (2)
- Volume: 159.3 Å³/cell
- Raw formation energy: -549 meV/atom
- Total energy: -69.196 eV for the cell shown
- DOS at the Fermi energy: 0.96 states/eV per atom



5.
Entry from Alexandria via LeMat-Bulk: a relaxed structure of Zr4Pd2N (GGA-PBE).

Cell: 7.3284 10.6683 3.3283 Å, 90.00 90.00 90.00°
Closest atoms and distances in Å follow each position.
Atoms (fractional coordinates):
Zr 0.1388 0.1907 0.0000  1 N 2.27
Zr 0.1852 0.9401 0.5000  2 N 2.24
Zr 0.3148 0.4401 0.5000  2 N 2.24
Zr 0.3612 0.6907 0.0000  1 N 2.27
Zr 0.6388 0.3093 0.0000  1 N 2.27
Zr 0.6852 0.5599 0.5000  2 N 2.24
Zr 0.8148 0.0599 0.5000  2 N 2.24
Zr 0.8612 0.8093 0.0000  1 N 2.27
Pd 0.0519 0.6357 0.5000  6 Zr 2.81-2.87, 1 Pd 2.99
Pd 0.4481 0.1357 0.5000  6 Zr 2.81-2.87, 1 Pd 2.99
Pd 0.5519 0.8643 0.5000  6 Zr 2.81-2.87, 1 Pd 2.99
Pd 0.9481 0.3643 0.5000  6 Zr 2.81-2.87, 1 Pd 2.99
N 0.0000 0.0000 0.0000  6 Zr 2.24-2.27
N 0.5000 0.5000 0.0000  6 Zr 2.24-2.27

Values from the calculation:
- SG: Pbam (55)
- Volume: 260.2 Å³/cell
- Energy relative to the lowest polymorph listed for this composition: 186 meV per atom
- Raw formation energy: -738 meV/atom
- Total energy: -116.136 eV for the cell shown
- DOS at the Fermi energy: 0.92 states/eV per atom



6.
Entry from Alexandria via LeMat-Bulk: a relaxed structure of ZrPd2N2 (GGA-PBE).

Cell: 5.0203 5.0203 5.0203 Å, 133.27 133.27 68.23°
Closest atoms and distances in Å follow each position.
Atoms (fractional coordinates):
Zr 0.0000 0.0000 0.0000  10 Pd 2.84-3.11, 8 N 2.88
Pd 0.3421 0.3421 0.0000  4 N 2.13
Pd 0.6579 0.6579 0.0000  4 N 2.13
N 0.2500 0.7500 0.5000  4 Pd 2.13
N 0.7500 0.2500 0.5000  4 Pd 2.13

Values from the calculation:
- SG: I4/mmm (139)
- Volume: 65.9 Å³/cell
- Energy relative to the lowest polymorph listed for this composition: 0 meV per atom
- Raw formation energy: 444 meV/atom
- Total energy: -33.365 eV for the cell shown
- DOS at the Fermi energy: 0.43 states/eV per atom



7.
Entry from Alexandria via LeMat-Bulk: a relaxed structure of Zr6PdN2 (GGA-PBE).

Cell: 5.9956 5.9956 7.7937 Å, 116.55 116.55 43.81°
Closest atoms and distances in Å follow each position.
Atoms (fractional coordinates):
Zr 0.0246 0.0246 0.1933  2 N 2.29, 1 Pd 2.53
Zr 0.3079 0.3079 0.9201  3 N 2.24-2.31
Zr 0.3341 0.3341 0.4295  1 N 2.37
Zr 0.6659 0.6659 0.5705  1 N 2.37
Zr 0.6921 0.6921 0.0799  3 N 2.24-2.31
Zr 0.9754 0.9754 0.8067  2 N 2.29, 1 Pd 2.53
Pd 0.0000 0.0000 0.5000  6 Zr 2.53-2.78
N 0.1838 0.1838 0.0868  6 Zr 2.24-2.37
N 0.8162 0.8162 0.9132  6 Zr 2.24-2.37

Values from the calculation:
- SG: C2/m (12)
- Volume: 170.0 Å³/cell
- Raw formation energy: -708 meV/atom
- Total energy: -79.502 eV for the cell shown
- DOS at the Fermi energy: 0.92 states/eV per atom



8.
Entry from Alexandria via LeMat-Bulk: a relaxed structure of Zr12Pd6N (GGA-PBE).

Cell: 7.3586 7.3586 7.3586 Å, 94.37 94.37 94.37°
Closest atoms and distances in Å follow each position.
Atoms (fractional coordinates):
Zr 0.0450 0.9225 0.7058  1 N 2.25
Zr 0.0775 0.2942 0.9550  1 N 2.25
Zr 0.1975 0.4131 0.5355  4 Pd 2.73-2.95
Zr 0.2942 0.9550 0.0775  1 N 2.25
Zr 0.4131 0.5355 0.1975  4 Pd 2.73-2.95
Zr 0.4645 0.8025 0.5869  4 Pd 2.73-2.95
Zr 0.5355 0.1975 0.4131  4 Pd 2.73-2.95
Zr 0.5869 0.4645 0.8025  4 Pd 2.73-2.95
Zr 0.7058 0.0450 0.9225  1 N 2.25
Zr 0.8025 0.5869 0.4645  4 Pd 2.73-2.95
Zr 0.9225 0.7058 0.0450  1 N 2.25
Zr 0.9550 0.0775 0.2942  1 N 2.25
Pd 0.1408 0.7483 0.3741  8 Zr 2.73-3.00
Pd 0.2517 0.6259 0.8592  8 Zr 2.73-3.00
Pd 0.3741 0.1408 0.7483  8 Zr 2.73-3.00
Pd 0.6259 0.8592 0.2517  8 Zr 2.73-3.00
Pd 0.7483 0.3741 0.1408  8 Zr 2.73-3.00
Pd 0.8592 0.2517 0.6259  8 Zr 2.73-3.00
N 0.0000 0.0000 0.0000  6 Zr 2.25

Values from the calculation:
- SG: R-3 (148)
- Volume: 394.8 Å³/cell
- Raw formation energy: -373 meV/atom
- Total energy: -149.140 eV for the cell shown
- DOS at the Fermi energy: 1.28 states/eV per atom